Material: GaGeTeI2
Method: DFT, PBEsol
State: optimized geometry

## Properties
calculated total energy	-2.96	eV per atom
spin magnetization	0.000	μB/atom
ΔE_f (raw)	0.11	eV per atom
energy relative to the lowest polymorph listed for this composition	0	meV/atom
crystal system	tetragonal

```
GaGeTeI2
1.0
5.645 0.000 0.000
0.000 5.645 0.000
0.000 0.000 5.422
Ga Ge Te I
1 1 1 2
direct
0.000 0.000 0.000
0.500 0.500 0.500
0.500 0.500 0.000
0.000 0.500 0.500
0.500 0.000 0.500
```